(1)
The following is a DFT calculation (PBE) of NaGe3I after structural relaxation.

Computed properties:
DOS(E_F)	2.18	states/eV/cell
V	34.41	A^3/atom
E_form (uncorrected)	0.87	eV/atom
total DFT energy (no corrections)	-12.4	eV for the cell shown
distance to the lowest polymorph of the same formula	0.0	kJ/mol of atoms

Geometry as CIF:
```
data_NaGe3I
_chemical_formula_sum 'Na1 Ge3 I1'
_space_group_name_H-M_alt 'P m -3 m'
_space_group_IT_number 221
_space_group_name_Hall '-P 4 2 3'
_cell_length_a 5.5617
_cell_length_b 5.5617
_cell_length_c 5.5617
_cell_angle_alpha 90.00
_cell_angle_beta 90.00
_cell_angle_gamma 90.00
loop_
_atom_site_label
_atom_site_type_symbol
_atom_site_fract_x
_atom_site_fract_y
_atom_site_fract_z
Na1 Na 0.0000 0.0000 0.0000
Ge1 Ge 0.0000 0.5000 0.5000
I1 I 0.5000 0.5000 0.5000
```

=====

(2)
The following is a DFT calculation (PBE) of CaTmSn2 after structural relaxation.

Computed properties:
DOS(E_F)	4.99	states/eV/cell
V	28.24	A^3/atom
total DFT energy (no corrections)	-33.9	eV for the cell shown
formation enthalpy at 0 K	-2.5	eV/f.u.

Geometry as CIF:
```
data_CaTmSn2
_chemical_formula_sum 'Ca2 Tm2 Sn4'
_space_group_name_H-M_alt 'A m m 2'
_space_group_IT_number 38
_space_group_name_Hall 'A 2 -2'
_cell_length_a 4.2750
_cell_length_b 4.6087
_cell_length_c 11.4647
_cell_angle_alpha 90.00
_cell_angle_beta 90.00
_cell_angle_gamma 90.00
loop_
_atom_site_label
_atom_site_type_symbol
_atom_site_fract_x
_atom_site_fract_y
_atom_site_fract_z
Ca1 Ca 0.0000 0.0000 0.0000
Tm1 Tm 0.5000 0.0000 0.7314
Sn1 Sn 0.0000 0.0000 0.2722
Sn2 Sn 0.5000 0.0000 0.4539
```

=====

(3)
The following is a DFT calculation (PBE) of LiRhPb3 after structural relaxation.

Computed properties:
DOS(E_F)	21.06	states/eV/cell
V	24.21	A^3/atom
total DFT energy (no corrections)	-166.4	eV for the cell shown
distance to the lowest polymorph of the same formula	2.6	kJ/mol of atoms
formation enthalpy at 0 K	-0.4	eV/f.u.

Geometry as CIF:
```
data_LiRhPb3
_chemical_formula_sum 'Li8 Rh8 Pb24'
_space_group_name_H-M_alt 'C 1 2/c 1'
_space_group_IT_number 15
_space_group_name_Hall '-C 2yc'
_cell_length_a 12.3577
_cell_length_b 12.1857
_cell_length_c 6.8902
_cell_angle_alpha 90.00
_cell_angle_beta 111.02
_cell_angle_gamma 90.00
loop_
_atom_site_label
_atom_site_type_symbol
_atom_site_fract_x
_atom_site_fract_y
_atom_site_fract_z
Li1 Li 0.1569 0.1036 0.4506
Rh1 Rh 0.0000 0.2595 0.2500
Rh2 Rh 0.0000 0.4953 0.7500
Pb1 Pb 0.0787 0.1192 0.9996
Pb2 Pb 0.1257 0.3254 0.6472
Pb3 Pb 0.1600 0.3934 0.1251
```

=====

(4)
The following is a DFT calculation (PBE) of As3Br after structural relaxation.

Computed properties:
V	38.24	A^3/atom
E_form (uncorrected)	0.14	eV/atom
total DFT energy (no corrections)	-60.3	eV for the cell shown
distance to the lowest polymorph of the same formula	4.8	kJ/mol of atoms

Geometry as CIF:
```
data_As3Br
_chemical_formula_sum 'As12 Br4'
_space_group_name_H-M_alt 'P n m a'
_space_group_IT_number 62
_space_group_name_Hall '-P 2ac 2n'
_cell_length_a 9.2129
_cell_length_b 9.0865
_cell_length_c 7.3095
_cell_angle_alpha 90.00
_cell_angle_beta 90.00
_cell_angle_gamma 90.00
loop_
_atom_site_label
_atom_site_type_symbol
_atom_site_fract_x
_atom_site_fract_y
_atom_site_fract_z
As1 As 0.0326 0.2500 0.0171
As2 As 0.1536 0.6244 0.7989
Br1 Br 0.0686 0.7500 0.2940
```